Density functional theory data (PBE) for LiRu3F after structural relaxation.

```
5
Lattice="4.176 0.000 0.000 0.000 4.176 0.000 0.000 0.000 4.176" Properties=species:S:1:pos:R:3 pbc="T T T"
Li 0.000 0.000 0.000
Ru 0.000 2.088 2.088
Ru 2.088 0.000 2.088
Ru 2.088 2.088 0.000
F 2.088 2.088 2.088
```

Values from the calculation:
For the energy above the lowest structure with this stoichiometry, the calculation gives 0.000 eV/f.u. For the density, the calculation gives 7.5 Mg/m³. For the energy relative to the elements, uncorrected, the calculation gives 0.998 eV/atom.